# 1
Below is crystalline Li2NdSm3Se6 at its relaxed geometry, with properties calculated at the GGA-PBE level.

Formation energy without anion corrections in meV/atom: -1735
Calculated volume in Å³/atom: 24.96
Spin magnetization in μB/atom: 0.000

abc: 7.157 12.394 7.166
angles: 90.00 109.55 90.00
Space group C2/m (No. 12)
One atom of each set of equivalent atoms:
Li 0.000 0.168 0.000 x4
Nd 0.000 0.500 0.000 x2
Sm 0.000 0.000 0.500 x2
Sm 0.000 0.335 0.500 x4
Se 0.238 0.000 0.242 x4
Se 0.248 0.171 0.757 x8

=====

# 2
Below is crystalline Sb2HSeI at its relaxed geometry, with properties calculated at the GGA-PBE level.

Calculated volume in Å³/atom: 37.34
Spin magnetization in μB/atom: 0.621
Energy above the most stable polymorph in this dataset in meV per atom: 395

abc: 5.596 5.596 5.962
angles: 90.00 90.00 90.00
Space group P4/mmm (No. 123)
One atom of each set of equivalent atoms:
Sb 0.000 0.500 0.000 x2
H 0.000 0.000 0.500 x1
Se 0.500 0.500 0.000 x1
I 0.500 0.500 0.500 x1

=====

# 3
Below is crystalline MnZn3B at its relaxed geometry, with properties calculated at the GGA-PBE level.

Calculated volume in Å³/atom: 21.02
Spin magnetization in μB/atom: 0.516
Energy above the most stable polymorph in this dataset in meV per atom: 978

abc: 4.719 4.719 4.719
angles: 90.00 90.00 90.00
Space group Pm-3m (No. 221)
One atom of each set of equivalent atoms:
Mn 0.000 0.000 0.000 x1
Zn 0.000 0.000 0.500 x3
B 0.500 0.500 0.500 x1

=====

# 4
Below is crystalline LiNiHRh2 at its relaxed geometry, with properties calculated at the GGA-PBE level.

Calculated volume in Å³/atom: 10.76
Spin magnetization in μB/atom: 0.000
Energy above the most stable polymorph in this dataset in meV per atom: 22

abc: 3.891 3.891 3.552
angles: 90.00 90.00 90.00
Space group P4/mmm (No. 123)
One atom of each set of equivalent atoms:
Li 0.000 0.000 0.000 x1
Ni 0.500 0.500 0.000 x1
H 0.500 0.500 0.500 x1
Rh 0.000 0.500 0.500 x2

=====

# 5
Below is crystalline Sc2Ga5Tc2Ir at its relaxed geometry, with properties calculated at the GGA-PBE level.

Calculated volume in Å³/atom: 17.05
VASP energy in eV per cell: -119.638
Spin magnetization in μB/atom: 0.000

abc: 10.061 10.061 3.369
angles: 90.00 90.00 90.00
Space group P4/mbm (No. 127)
One atom of each set of equivalent atoms:
Sc 0.181 0.319 0.000 x4
Ga 0.000 0.500 0.500 x2
Ga 0.057 0.810 0.500 x8
Tc 0.130 0.630 0.000 x4
Ir 0.000 0.000 0.000 x2

=====

# 6
Below is crystalline TlCl at its relaxed geometry, with properties calculated at the GGA-PBE level.

Formation energy without anion corrections in meV/atom: -939
Calculated volume in Å³/atom: 50.21
Spin magnetization in μB/atom: 0.000

abc: 13.330 13.330 4.522
angles: 90.00 90.00 90.00
Space group P4/m (No. 83)
One atom of each set of equivalent atoms:
Tl 0.097 0.269 0.000 x4
Tl 0.257 0.611 0.500 x4
Cl 0.143 0.699 0.000 x4
Cl 0.183 0.386 0.500 x4

=====

# 7
Below is crystalline Li2AcTl2 at its relaxed geometry, with properties calculated at the GGA-PBE level.

Calculated volume in Å³/atom: 25.79
Spin magnetization in μB/atom: 0.000
Energy above the most stable polymorph in this dataset in meV per atom: 0

abc: 4.840 4.840 22.021
angles: 90.00 90.00 90.00
Space group I4/mmm (No. 139)
One atom of each set of equivalent atoms:
Li 0.000 0.000 0.067 x4
Li 0.000 0.500 0.250 x4
Ac 0.000 0.000 0.373 x4
Tl 0.000 0.000 0.188 x4
Tl 0.000 0.500 0.000 x4

=====

# 8
Below is crystalline CaSc2Re2 at its relaxed geometry, with properties calculated at the GGA-PBE level.

Calculated volume in Å³/atom: 19.39
VASP energy in eV per cell: -28.317
Spin magnetization in μB/atom: 0.000

abc: 4.536 4.536 4.712
angles: 90.00 90.00 90.00
Space group P4/mmm (No. 123)
One atom of each set of equivalent atoms:
Ca 0.000 0.000 0.000 x1
Sc 0.000 0.500 0.000 x2
Re 0.000 0.000 0.500 x1
Re 0.500 0.500 0.500 x1

=====

# 9
Below is crystalline Mg3Si at its relaxed geometry, with properties calculated at the GGA-PBE level.

Formation energy without anion corrections in meV/atom: 81
Calculated volume in Å³/atom: 20.11
Spin magnetization in μB/atom: 0.000

abc: 3.262 4.666 5.285
angles: 90.00 90.00 90.00
Space group Pmm2 (No. 25)
One atom of each set of equivalent atoms:
Mg 0.000 0.000 0.000 x1
Mg 0.000 0.500 0.355 x1
Mg 0.500 0.000 0.522 x1
Si 0.500 0.500 0.849 x1

=====

# 10
Below is crystalline Mn5Os4 at its relaxed geometry, with properties calculated at the GGA-PBE level.

Calculated volume in Å³/atom: 12.67
Spin magnetization in μB/atom: 0.285
Energy above the most stable polymorph in this dataset in meV per atom: 0

abc: 7.835 7.835 3.715
angles: 90.00 90.00 90.00
Space group I4/mmm (No. 139)
One atom of each set of equivalent atoms:
Mn 0.000 0.000 0.000 x2
Mn 0.165 0.165 0.500 x8
Os 0.000 0.325 0.000 x8

=====

# 11
Below is crystalline Ho2Tm7Sc2 at its relaxed geometry, with properties calculated at the GGA-PBE level.

Calculated volume in Å³/atom: 29.50
Spin magnetization in μB/atom: 0.000
Energy above the most stable polymorph in this dataset in meV per atom: 0

abc: 6.227 6.411 8.565
angles: 74.32 82.13 82.57
Space group P-1 (No. 2)
One atom of each set of equivalent atoms:
Ho 0.037 0.195 0.110 x2
Tm 0.104 0.627 0.283 x2
Tm 0.355 0.644 0.614 x2
Tm 0.444 0.074 0.794 x2
Tm 0.500 0.500 0.000 x1
Sc 0.191 0.131 0.474 x2

=====

# 12
Below is crystalline CaInBi4 at its relaxed geometry, with properties calculated at the GGA-PBE level.

Calculated volume in Å³/atom: 31.83
Spin magnetization in μB/atom: 0.000
Energy above the most stable polymorph in this dataset in meV per atom: 0

abc: 6.777 19.726 5.715
angles: 90.00 90.00 90.00
Space group Cmcm (No. 63)
One atom of each set of equivalent atoms:
Ca 0.000 0.126 0.250 x4
In 0.000 0.374 0.750 x4
Bi 0.246 0.461 0.250 x8
Bi 0.247 0.291 0.250 x8